(1)
PrSn2 | meta-GGA SCAN | single point on PBEsol structure

```
data_PrSn2
_symmetry_space_group_name_H-M 'C m m m'
_symmetry_Int_Tables_number 65
_symmetry_space_group_name_Hall '-C 2 2'
_cell_length_a 4.4599
_cell_length_b 15.9135
_cell_length_c 4.5667
_cell_angle_alpha 90.00
_cell_angle_beta 90.00
_cell_angle_gamma 90.00
loop_
_atom_site_label
_atom_site_type_symbol
_atom_site_fract_x
_atom_site_fract_y
_atom_site_fract_z
Pr1 Pr 0.0000 0.1451 0.0000
Sn1 Sn 0.0000 0.0000 0.5000
Sn2 Sn 0.0000 0.3154 0.5000
Sn3 Sn 0.0000 0.5000 0.0000
```

## Properties
Mass density   7.75 g/cm3
Total magnetic moment   0.00 μB/f.u.
Electronic total energy   -1.438 hartree per atom

(2)
Ca3Si3W2O12 | meta-GGA SCAN | single point on PBEsol structure

```
data_Ca3Si3W2O12
_symmetry_space_group_name_H-M 'I a -3 d'
_symmetry_Int_Tables_number 230
_symmetry_space_group_name_Hall '-I 4bd 2c 3'
_cell_length_a 12.2625
_cell_length_b 12.2625
_cell_length_c 12.2625
_cell_angle_alpha 90.00
_cell_angle_beta 90.00
_cell_angle_gamma 90.00
loop_
_atom_site_label
_atom_site_type_symbol
_atom_site_fract_x
_atom_site_fract_y
_atom_site_fract_z
Ca1 Ca 0.0000 0.2500 0.1250
Si1 Si 0.0000 0.2500 0.3750
W1 W 0.0000 0.0000 0.0000
O1 O 0.0409 0.0514 0.6585
```

## Properties
Mass density   5.51 g/cm3
Total magnetic moment   6.00 μB/f.u.
Electronic total energy   -0.603 hartree per atom

(3)
LiTi2Rh2 | meta-GGA SCAN | single point on PBEsol structure

```
data_LiTi2Rh2
_symmetry_space_group_name_H-M 'P 4/m b m'
_symmetry_Int_Tables_number 127
_symmetry_space_group_name_Hall '-P 4 2ab'
_cell_length_a 7.2999
_cell_length_b 7.2999
_cell_length_c 2.8938
_cell_angle_alpha 90.00
_cell_angle_beta 90.00
_cell_angle_gamma 90.00
loop_
_atom_site_label
_atom_site_type_symbol
_atom_site_fract_x
_atom_site_fract_y
_atom_site_fract_z
Li1 Li 0.0000 0.0000 0.0000
Ti1 Ti 0.1534 0.3466 0.5000
Rh1 Rh 0.1429 0.6429 0.0000
```

## Properties
Mass density   6.64 g/cm3
Total magnetic moment   0.00 μB/f.u.
Electronic total energy   -0.774 hartree per atom

(4)
ScNb3Sn | meta-GGA SCAN | single point on PBEsol structure

```
data_ScNb3Sn
_symmetry_space_group_name_H-M 'P m -3 m'
_symmetry_Int_Tables_number 221
_symmetry_space_group_name_Hall '-P 4 2 3'
_cell_length_a 5.0108
_cell_length_b 5.0108
_cell_length_c 5.0108
_cell_angle_alpha 90.00
_cell_angle_beta 90.00
_cell_angle_gamma 90.00
loop_
_atom_site_label
_atom_site_type_symbol
_atom_site_fract_x
_atom_site_fract_y
_atom_site_fract_z
Sc1 Sc 0.0000 0.0000 0.0000
Nb1 Nb 0.0000 0.5000 0.5000
Sn1 Sn 0.5000 0.5000 0.5000
```

## Properties
Mass density   5.84 g/cm3
Total magnetic moment   0.00 μB/f.u.
Electronic total energy   -1.050 hartree per atom

(5)
Cr2MoW | meta-GGA SCAN | single point on PBEsol structure

```
data_Cr2MoW
_symmetry_space_group_name_H-M 'P 4 m m'
_symmetry_Int_Tables_number 99
_symmetry_space_group_name_Hall 'P 4 -2'
_cell_length_a 2.9939
_cell_length_b 2.9939
_cell_length_c 5.9903
_cell_angle_alpha 90.00
_cell_angle_beta 90.00
_cell_angle_gamma 90.00
loop_
_atom_site_label
_atom_site_type_symbol
_atom_site_fract_x
_atom_site_fract_y
_atom_site_fract_z
Cr1 Cr 0.0000 0.0000 0.0000
Cr2 Cr 0.5000 0.5000 0.2339
Mo1 Mo 0.0000 0.0000 0.4766
W1 W 0.5000 0.5000 0.7550
```

## Properties
Mass density   11.87 g/cm3
Total magnetic moment   0.01 μB/f.u.
Electronic total energy   -1.296 hartree per atom

(6)
TaIrCl | meta-GGA SCAN | single point on PBEsol structure

```
data_TaIrCl
_symmetry_space_group_name_H-M 'F -4 3 m'
_symmetry_Int_Tables_number 216
_symmetry_space_group_name_Hall 'F -4 2 3'
_cell_length_a 6.0458
_cell_length_b 6.0458
_cell_length_c 6.0458
_cell_angle_alpha 90.00
_cell_angle_beta 90.00
_cell_angle_gamma 90.00
loop_
_atom_site_label
_atom_site_type_symbol
_atom_site_fract_x
_atom_site_fract_y
_atom_site_fract_z
Ta1 Ta 0.0000 0.0000 0.0000
Ir1 Ir 0.2500 0.2500 0.2500
Cl1 Cl 0.2500 0.2500 0.7500
```

## Properties
Mass density   12.28 g/cm3
Total magnetic moment   0.00 μB/f.u.
Offset from the most stable computed form   0.565 eV per atom
Electronic total energy   -1.774 hartree per atom

(7)
ScZnRu | meta-GGA SCAN | single point on PBEsol structure

```
data_ScZnRu
_symmetry_space_group_name_H-M 'I 4 m m'
_symmetry_Int_Tables_number 107
_symmetry_space_group_name_Hall 'I 4 -2'
_cell_length_a 3.2595
_cell_length_b 3.2595
_cell_length_c 8.7112
_cell_angle_alpha 90.00
_cell_angle_beta 90.00
_cell_angle_gamma 90.00
loop_
_atom_site_label
_atom_site_type_symbol
_atom_site_fract_x
_atom_site_fract_y
_atom_site_fract_z
Sc1 Sc 0.0000 0.0000 0.0000
Zn1 Zn 0.0000 0.0000 0.3125
Ru1 Ru 0.0000 0.0000 0.6660
```

## Properties
Mass density   7.59 g/cm3
Total magnetic moment   0.00 μB/f.u.
Electronic total energy   -0.784 hartree per atom

(8)
ScTeAs2Pb | meta-GGA SCAN | single point on PBEsol structure

```
data_ScTeAs2Pb
_symmetry_space_group_name_H-M 'P 4/m m m'
_symmetry_Int_Tables_number 123
_symmetry_space_group_name_Hall '-P 4 2'
_cell_length_a 4.9931
_cell_length_b 4.9931
_cell_length_c 5.7123
_cell_angle_alpha 90.00
_cell_angle_beta 90.00
_cell_angle_gamma 90.00
loop_
_atom_site_label
_atom_site_type_symbol
_atom_site_fract_x
_atom_site_fract_y
_atom_site_fract_z
Sc1 Sc 0.0000 0.0000 0.0000
Te1 Te 0.5000 0.5000 0.5000
As1 As 0.0000 0.5000 0.0000
Pb1 Pb 0.0000 0.0000 0.5000
```

## Properties
Mass density   6.18 g/cm3
Total magnetic moment   0.57 μB/f.u.
Electronic total energy   -1.223 hartree per atom

Among the records above, which one has the highest electronic total energy?
Ca3Si3W2O12

Among the records above, which one has the lowest mass density?
Ca3Si3W2O12